Er7Tm4Pb after structural relaxation. Source: the Alexandria database, functional PBE.

Output
calculated formation energy: -27 meV/atom
volume: 30.1 A^3/atom
VASP energy: -4.488 eV/atom
total magnetization: 0.00 μB per cell

a b c (Å): 6.448 6.597 8.820
angles (deg): 84.87 77.34 81.27
Space group P-1 (No. 2)
One atom of each set of equivalent atoms:
Er: 0.000 0.000 0.000 (multiplicity 1)
Er: 0.157 0.609 0.319 (multiplicity 2)
Er: 0.189 0.101 0.391 (multiplicity 2)
Er: 0.468 0.251 0.046 (multiplicity 2)
Tm: 0.321 0.701 0.648 (multiplicity 2)
Tm: 0.369 0.189 0.713 (multiplicity 2)
Pb: 0.000 0.500 0.000 (multiplicity 1)